No. 1
{"formula": "SiOsRh2", "functional": "GGA-PBE", "state": "relaxed", "raw_formation_energy_mev_per_atom": -246.5, "spacegroup": "R-3m (166)", "lattice": [[1.381, 0.797, 8.295], [-1.381, 0.797, 8.295], [0.000, -1.595, 8.295]], "species": ["Si", "Os", "Rh", "Rh"], "frac_coords": [[0.000, 0.000, 0.000], [0.500, 0.500, 0.500], [0.257, 0.257, 0.257], [0.743, 0.743, 0.743]]}



No. 2
{"formula": "SiOs2Rh", "functional": "GGA-PBE", "state": "relaxed", "raw_formation_energy_mev_per_atom": 291.2, "spacegroup": "C2/m (12)", "lattice": [[2.601, -4.770, 0.000], [2.601, 4.770, 0.000], [-1.436, 0.000, 2.332]], "species": ["Si", "Os", "Os", "Rh"], "frac_coords": [[0.000, 0.000, 0.000], [0.000, 0.500, 0.500], [0.500, 0.000, 0.500], [0.500, 0.500, 0.000]]}



No. 3
{"formula": "SiOsRh", "functional": "GGA-PBE", "state": "relaxed", "de_polymorph_ev_per_atom": 0.000, "raw_formation_energy_mev_per_atom": -261.2, "spacegroup": "I4mm (107)", "lattice": [[-1.439, 1.439, 4.887], [1.439, -1.439, 4.887], [1.439, 1.439, -4.887]], "species": ["Si", "Os", "Rh"], "frac_coords": [[0.000, 0.000, 0.000], [0.644, 0.644, 0.000], [0.349, 0.349, 0.000]]}



No. 4
{"formula": "SiOsRh2", "functional": "GGA-PBE", "state": "relaxed", "raw_formation_energy_mev_per_atom": 32.4, "spacegroup": "P4/mmm (123)", "lattice": [[4.565, 0.000, 0.000], [0.000, 4.565, 0.000], [0.000, 0.000, 2.707]], "species": ["Si", "Os", "Rh", "Rh"], "frac_coords": [[0.000, 0.000, 0.000], [0.500, 0.500, 0.000], [0.000, 0.500, 0.500], [0.500, 0.000, 0.500]]}